No. 1
This record from Alexandria describes a geometry-optimized CaLu2Th structure. The functional is PBE-GGA.

Formation energy ... 0.05 eV per atom
Energy above the most stable polymorph in this dataset ... 0 meV/atom
SG ... No. 123

a b c (Å): 3.5999 3.5999 10.1234
angles (deg): 90.00 90.00 90.00
Element x y z (fractional)
Lu 0.0000 0.0000 0.7733
Lu 0.0000 0.0000 0.2267
Th 0.5000 0.5000 0.0000
Ca 0.5000 0.5000 0.5000



No. 2
This record from Alexandria describes a geometry-optimized Dy3UN4 structure. The functional is PBE-GGA.

SG ... No. 139
ΔE_f (raw) ... -1.62 eV/atom

a b c (Å): 4.8975 4.8975 5.9747
angles (deg): 114.20 114.20 90.00
Last column: magnetic moment on the atom in μB.
Element x y z (fractional)
Dy 0.2500 0.7500 0.5000  0.03
Dy 0.5000 0.5000 0.0000  0.08
Dy 0.7500 0.2500 0.5000  0.03
N 0.2315 0.2315 0.4630  -0.03
N 0.5000 0.0000 0.0000  -0.04
N 0.0000 0.5000 0.0000  -0.04
N 0.7685 0.7685 0.5370  -0.03
U 0.0000 0.0000 0.0000  1.17



No. 3
This record from Alexandria describes a geometry-optimized PuZrTi2 structure. The functional is PBE-GGA.

Formation energy ... 0.11 eV per atom
Energy above the most stable polymorph in this dataset ... 0 meV/atom
SG ... No. 123

a b c (Å): 4.2470 4.3632 4.3632
angles (deg): 90.00 90.00 90.00
Last column: magnetic moment on the atom in μB.
Element x y z (fractional)
Pu 0.5000 0.5000 0.5000  5.17
Ti 0.0000 0.5000 0.0000  0.16
Ti 0.0000 0.0000 0.5000  0.16
Zr 0.5000 0.0000 0.0000  0.05



No. 4
This record from Alexandria describes a geometry-optimized Mg3GaPt12 structure. The functional is PBE-GGA.

Formation energy ... -0.57 eV per atom
SG ... No. 123

a b c (Å): 3.9599 3.9599 15.8081
angles (deg): 90.00 90.00 90.00
Element x y z (fractional)
Pt 0.0000 0.5000 0.8765
Pt 0.5000 0.5000 0.2491
Pt 0.5000 0.5000 0.0000
Pt 0.5000 0.0000 0.6253
Pt 0.5000 0.0000 0.3747
Pt 0.5000 0.5000 0.5000
Pt 0.0000 0.5000 0.6253
Pt 0.5000 0.0000 0.8765
Pt 0.0000 0.5000 0.3747
Pt 0.5000 0.5000 0.7509
Pt 0.5000 0.0000 0.1235
Pt 0.0000 0.5000 0.1235
Mg 0.0000 0.0000 0.7509
Mg 0.0000 0.0000 0.2491
Mg 0.0000 0.0000 0.5000
Ga 0.0000 0.0000 0.0000



Summary of final energy in eV/atom
-4.56, -8.92, -9.56, -5.58
(order as listed above)
Summary of calculated density in g/cm³
7.87, 11.11, 8.85, 16.64
(order as listed above)